Record 1
! BOsN2 | Alexandria via LeMat-Bulk | GGA-PBE | optimized geometry; values from VASP
&SYSTEM
  ibrav = 0, nat = 4, ntyp = 3
/
ATOMIC_SPECIES
B 10.81 B.upf
Os 190.23 Os.upf
N 14.01 N.upf
ATOMIC_POSITIONS crystal
B 0.000 0.000 0.000
Os 0.500 0.500 0.500
N 0.085 0.085 0.085
N 0.915 0.915 0.915
CELL_PARAMETERS angstrom
-4.943 2.355 1.094
-4.580 0.339 3.176
-3.284 2.944 3.424
! Formation energy from raw total energies: 339 meV/atom
! Space group: R-3m, No. 166

***

Record 2
! BOs3N | Alexandria via LeMat-Bulk | GGA-PBE | optimized geometry; values from VASP
&SYSTEM
  ibrav = 0, nat = 5, ntyp = 3
/
ATOMIC_SPECIES
B 10.81 B.upf
N 14.01 N.upf
Os 190.23 Os.upf
ATOMIC_POSITIONS crystal
B 0.500 0.500 0.500
N 0.000 0.000 0.000
Os 0.000 0.000 0.500
Os 0.500 0.000 0.000
Os 0.000 0.500 0.000
CELL_PARAMETERS angstrom
-2.148 -2.741 1.912
0.407 -2.470 -3.085
3.317 -1.472 1.616
! Formation energy from raw total energies: 1400 meV/atom
! Space group: Pm-3m, No. 221

***

Record 3
! B3OsN3 | Alexandria via LeMat-Bulk | GGA-PBE | optimized geometry; values from VASP
&SYSTEM
  ibrav = 0, nat = 14, ntyp = 3
/
ATOMIC_SPECIES
N 14.01 N.upf
B 10.81 B.upf
Os 190.23 Os.upf
ATOMIC_POSITIONS crystal
N 0.000 0.750 0.500
B 0.500 0.750 0.000
Os 0.000 0.000 0.000
N 0.500 0.000 0.250
B 0.000 0.500 0.250
N 0.250 0.500 0.000
N 0.000 0.250 0.500
N 0.750 0.500 0.000
B 0.000 0.500 0.750
B 0.250 0.000 0.500
B 0.750 0.000 0.500
N 0.500 0.000 0.750
B 0.500 0.250 0.000
Os 0.500 0.500 0.500
CELL_PARAMETERS angstrom
4.697 0.000 0.000
0.000 4.697 0.000
0.000 0.000 4.697
! Formation energy from raw total energies: 854 meV/atom
! Space group: Pm-3n, No. 223

***

Record 4
! B2OsN | Alexandria via LeMat-Bulk | GGA-PBE | optimized geometry; values from VASP
&SYSTEM
  ibrav = 0, nat = 8, ntyp = 3
/
ATOMIC_SPECIES
Os 190.23 Os.upf
N 14.01 N.upf
B 10.81 B.upf
ATOMIC_POSITIONS crystal
Os 0.750 0.250 0.500
N 0.500 0.500 0.000
B 0.518 0.125 0.250
B 0.232 0.625 0.250
N 0.250 0.750 0.500
B 0.875 0.768 0.750
Os 0.000 0.000 0.000
B 0.375 0.482 0.750
CELL_PARAMETERS angstrom
4.692 0.000 0.000
0.000 4.692 0.000
2.346 2.346 3.256
! Formation energy from raw total energies: 402 meV/atom
! Space group: I-42d, No. 122

***

Record 5
! B6OsN6 | Alexandria via LeMat-Bulk | GGA-PBE | optimized geometry; values from VASP
&SYSTEM
  ibrav = 0, nat = 13, ntyp = 3
/
ATOMIC_SPECIES
Os 190.23 Os.upf
N 14.01 N.upf
B 10.81 B.upf
ATOMIC_POSITIONS crystal
Os 0.500 0.500 0.500
N 0.000 0.754 0.500
B 0.742 0.000 0.500
N 0.754 0.500 0.000
B 0.258 0.000 0.500
N 0.500 0.000 0.754
N 0.000 0.246 0.500
B 0.000 0.500 0.258
B 0.500 0.742 0.000
B 0.500 0.258 0.000
N 0.500 0.000 0.246
N 0.246 0.500 0.000
B 0.000 0.500 0.742
CELL_PARAMETERS angstrom
-2.428 0.945 -3.784
-2.952 -3.358 1.055
-2.549 2.989 2.382
! Formation energy from raw total energies: 86 meV/atom
! Space group: Pm-3, No. 200

***

Record 6
! BOs2N | Alexandria via LeMat-Bulk | GGA-PBE | optimized geometry; values from VASP
&SYSTEM
  ibrav = 0, nat = 4, ntyp = 3
/
ATOMIC_SPECIES
Os 190.23 Os.upf
B 10.81 B.upf
N 14.01 N.upf
ATOMIC_POSITIONS crystal
Os 0.750 0.750 0.750
B 0.000 0.000 0.000
Os 0.250 0.250 0.250
N 0.500 0.500 0.500
CELL_PARAMETERS angstrom
-3.040 2.049 1.195
-1.628 2.586 -2.353
-3.490 -0.679 -1.492
! Formation energy from raw total energies: 993 meV/atom
! Space group: Fm-3m, No. 225

***

Record 7
! BOsPb2N | Alexandria via LeMat-Bulk | GGA-PBE | optimized geometry; values from VASP
&SYSTEM
  ibrav = 0, nat = 5, ntyp = 4
/
ATOMIC_SPECIES
Os 190.23 Os.upf
B 10.81 B.upf
Pb 207.20 Pb.upf
N 14.01 N.upf
ATOMIC_POSITIONS crystal
Os 0.000 0.000 0.000
B 0.500 0.500 0.500
Pb 0.000 0.000 0.500
N 0.000 0.500 0.000
Pb 0.500 0.000 0.000
CELL_PARAMETERS angstrom
5.476 0.000 0.000
0.000 3.682 0.000
0.000 0.000 5.476
! Formation energy from raw total energies: 1181 meV/atom
! Space group: P4/mmm, No. 123

***

Record 8
! PmBOsN | Alexandria via LeMat-Bulk | GGA-PBE | optimized geometry; values from VASP
&SYSTEM
  ibrav = 0, nat = 8, ntyp = 4
/
ATOMIC_SPECIES
B 10.81 B.upf
Os 190.23 Os.upf
Pm 145.00 Pm.upf
N 14.01 N.upf
ATOMIC_POSITIONS crystal
B 0.000 0.500 0.335
Os 0.500 0.500 0.500
Pm 0.500 0.000 0.163
Os 0.000 0.000 0.500
N 0.000 0.500 0.145
B 0.500 0.000 0.665
N 0.500 0.000 0.855
Pm 0.000 0.500 0.837
CELL_PARAMETERS angstrom
3.719 0.000 0.000
0.000 3.719 0.000
0.000 0.000 7.884
! Formation energy from raw total energies: -879 meV/atom
! Space group: P4/nmm, No. 129